The following is a PBE calculation of crystalline NpSb2Ru at its relaxed geometry, from the Alexandria database.

Properties
- Formation energy without anion corrections: -0.14 eV per atom
- Calculated total energy: -0.285 Ha/atom
- Calculated density: 10.66 g/cm3
- Spin magnetization: 3.42 μB/f.u.

```
data_NpSb2Ru
_chemical_formula_sum 'Np2 Sb4 Ru2'
_space_group_name_H-M_alt 'P 1'
_space_group_IT_number 1
_space_group_name_Hall 'P 1'
_cell_length_a 6.481
_cell_length_b 3.911
_cell_length_c 7.418
_cell_angle_alpha 90.00
_cell_angle_beta 105.46
_cell_angle_gamma 90.00
loop_
_atom_site_label
_atom_site_type_symbol
_atom_site_fract_x
_atom_site_fract_y
_atom_site_fract_z
_atom_site_occupancy
Np1 Np 0.080 0.250 0.292 1
Np2 Np 0.920 0.750 0.708 1
Sb1 Sb 0.317 0.750 0.076 1
Sb2 Sb 0.364 0.750 0.600 1
Sb3 Sb 0.636 0.250 0.400 1
Sb4 Sb 0.683 0.250 0.924 1
Ru1 Ru 0.232 0.250 0.807 1
Ru2 Ru 0.768 0.750 0.193 1
```

***

The following is a PBE calculation of crystalline PmErIn3 at its relaxed geometry, from the Alexandria database.

Properties
- Calculated total energy: -0.123 Ha/atom
- Calculated density: 5.69 g/cm3
- Spin magnetization: 0.00 μB/f.u.

```
data_PmErIn3
_chemical_formula_sum 'Pm2 Er2 In6'
_space_group_name_H-M_alt 'P 1'
_space_group_IT_number 1
_space_group_name_Hall 'P 1'
_cell_length_a 11.965
_cell_length_b 11.965
_cell_length_c 11.965
_cell_angle_alpha 151.73
_cell_angle_beta 151.73
_cell_angle_gamma 40.40
loop_
_atom_site_label
_atom_site_type_symbol
_atom_site_fract_x
_atom_site_fract_y
_atom_site_fract_z
_atom_site_occupancy
Pm1 Pm 0.000 0.000 0.000 1
Pm2 Pm 0.750 0.250 0.500 1
Er1 Er 0.422 0.422 0.000 1
Er2 Er 0.578 0.578 0.000 1
In1 In 0.006 0.506 0.500 1
In2 In 0.375 0.127 0.248 1
In3 In 0.494 0.994 0.500 1
In4 In 0.873 0.122 0.248 1
In5 In 0.873 0.625 0.752 1
In6 In 0.878 0.127 0.752 1
```

***

The following is a PBE calculation of crystalline CaNdCu2Si2 at its relaxed geometry, from the Alexandria database.

Properties
- Formation energy without anion corrections: -0.52 eV per atom
- Calculated total energy: -0.177 Ha/atom
- Calculated density: 5.01 g/cm3
- Spin magnetization: 0.00 μB/f.u.

```
data_CaNdCu2Si2
_chemical_formula_sum 'Ca1 Nd1 Cu2 Si2'
_space_group_name_H-M_alt 'P 1'
_space_group_IT_number 1
_space_group_name_Hall 'P 1'
_cell_length_a 4.130
_cell_length_b 4.130
_cell_length_c 8.248
_cell_angle_alpha 90.00
_cell_angle_beta 90.00
_cell_angle_gamma 120.00
loop_
_atom_site_label
_atom_site_type_symbol
_atom_site_fract_x
_atom_site_fract_y
_atom_site_fract_z
_atom_site_occupancy
Ca1 Ca 0.000 0.000 0.000 1
Nd1 Nd 0.000 0.000 0.500 1
Cu1 Cu 0.333 0.667 0.248 1
Cu2 Cu 0.667 0.333 0.752 1
Si1 Si 0.333 0.667 0.746 1
Si2 Si 0.667 0.333 0.254 1
```

***

Question: The lowest calculated density belongs to which entry?
Answer: CaNdCu2Si2

***

Question: Which formula does entry 1 have?
Answer: NpSb2Ru

***

Question: Number 3 is which compound?
Answer: CaNdCu2Si2

***

Question: Look up the calculated density of the second one.
Answer: 5.69 g/cm3